Record 1
Material: CsNaC3
Method: DFT, PBE
State: optimized geometry

Geometry as extended XYZ:
```
5
Lattice="5.222 0.000 0.000 0.000 5.222 0.000 0.000 0.000 5.222" Properties=species:S:1:pos:R:3 pbc="T T T"
Cs 2.611 2.611 2.611
Na 0.000 0.000 0.000
C 0.000 2.611 0.000
C 0.000 0.000 2.611
C 2.611 0.000 0.000
```

Properties
polymorph energy (0 for the lowest one)	0.0000	eV per atom
VASP energy	-2.65	eV per atom

Record 2
Material: Zn6CuNi3
Method: DFT, PBE
State: optimized geometry

Geometry as extended XYZ:
```
20
Lattice="-0.304 -3.426 -2.505 -1.634 -3.911 5.546 -7.429 3.786 -4.276" Properties=species:S:1:pos:R:3 pbc="T T T"
Zn -1.378 -2.421 1.672
Zn -7.989 -1.130 -2.907
Zn -1.578 -0.877 -0.416
Zn -7.789 -2.674 -0.819
Zn -6.132 -0.890 0.154
Zn -3.235 -2.661 -1.389
Zn -4.088 -0.080 -1.201
Zn -5.279 -3.471 -0.034
Zn -3.509 -3.142 2.916
Zn -5.858 -0.409 -4.151
Zn -6.636 2.144 -3.933
Zn -2.731 -5.695 2.699
Cu -5.876 -2.474 2.290
Cu -3.491 -1.077 -3.525
Ni -3.740 -1.630 0.877
Ni -5.626 -1.921 -2.112
Ni -6.430 0.628 -1.885
Ni -2.937 -4.179 0.651
Ni -8.547 -0.193 -0.506
Ni -0.820 -3.358 -0.729
```

Properties
polymorph energy (0 for the lowest one)	0.0000	eV per atom
VASP energy	-3.07	eV per atom

Record 3
Material: CsCoP2Cl
Method: DFT, PBE
State: optimized geometry

Geometry as extended XYZ:
```
5
Lattice="4.316 0.000 0.000 0.000 4.316 0.000 0.000 0.000 8.922" Properties=species:S:1:pos:R:3 pbc="T T T"
Cs 2.158 2.158 4.461
P 0.000 2.158 0.000
P 2.158 0.000 0.000
Co 0.000 0.000 0.000
Cl 0.000 0.000 4.461
```

Properties
polymorph energy (0 for the lowest one)	0.0000	eV per atom
VASP energy	-4.34	eV per atom

polymorph energy (0 for the lowest one) of number 2 (Zn6CuNi3)? 0.0000 eV per atom

The highest VASP energy belongs to which entry? CsNaC3